Entry 1:
A plane-wave DFT calculation with GGA-PBE was carried out for an optimized crystal structure of SrCaDy4.

Calculated values
- formation energy (eV per atom) = 0.204

abc: 6.8230 6.8230 6.8230
angles: 60.00 60.00 60.00
Element x y z (fractional)
Sr 0.2500 0.2500 0.2500
Ca 0.0000 0.0000 0.0000
Dy 0.6259 0.6259 0.1223
Dy 0.6259 0.1223 0.6259
Dy 0.6259 0.6259 0.6259
Dy 0.1223 0.6259 0.6259

Entry 2:
A plane-wave DFT calculation with GGA-PBE was carried out for an optimized crystal structure of NdGaAu2.

Calculated values
- formation energy (eV per atom) = -0.509

abc: 4.1916 4.5931 4.5931
angles: 90.00 90.00 90.00
Element x y z (fractional)
Nd 0.5000 0.5000 0.5000
Au 0.0000 0.0000 0.5000
Au 0.0000 0.5000 0.0000
Ga 0.5000 0.0000 0.0000